{"formula": "Cu3MoBr", "functional": "PBEsol", "state": "relaxed", "raw_formation_energy_ev_per_atom": 1.610, "e_tot_ev_per_atom": -3.7183, "volume_a3_per_cell": 102.59, "magmom_total_mub_per_fu": 0.0, "lattice_angstrom": [[-4.282, 1.136, 1.514], [-1.558, -4.242, -1.223], [1.075, -1.622, 4.258]], "species": ["Mo", "Cu", "Cu", "Cu", "Br"], "frac_coords": [[0.000, 0.000, 0.000], [0.000, 0.500, 0.000], [0.000, 0.000, 0.500], [0.500, 0.000, 0.000], [0.500, 0.500, 0.500]]}



{"formula": "Cu2MoBr", "functional": "PBEsol", "state": "relaxed", "raw_formation_energy_ev_per_atom": 0.446, "e_tot_ev_per_atom": -5.1309, "volume_a3_per_cell": 62.32, "magmom_total_mub_per_fu": 0.0, "e_above_lowest_polymorph_mev_per_atom": 0.0, "lattice_angstrom": [[2.936, 0.000, 0.000], [1.468, 2.543, 0.000], [1.468, 0.848, 8.346]], "species": ["Br", "Cu", "Cu", "Mo"], "frac_coords": [[0.241, 0.241, 0.277], [0.012, 0.012, 0.964], [0.750, 0.750, 0.751], [0.497, 0.497, 0.508]]}



{"formula": "CuMo2Br", "functional": "PBEsol", "state": "relaxed", "raw_formation_energy_ev_per_atom": 0.717, "e_tot_ev_per_atom": -6.7178, "volume_a3_per_cell": 63.77, "magmom_total_mub_per_fu": 0.0, "e_above_lowest_polymorph_mev_per_atom": 42.3, "lattice_angstrom": [[-0.887, -2.873, -0.538], [0.309, 0.641, 4.738], [-4.358, 1.571, -1.207]], "species": ["Br", "Cu", "Mo", "Mo"], "frac_coords": [[0.506, 0.011, 0.494], [0.734, 0.468, 0.206], [0.984, 0.969, 0.025], [0.276, 0.552, 0.775]]}



{"formula": "CuMoBr", "functional": "PBEsol", "state": "relaxed", "raw_formation_energy_ev_per_atom": 1.436, "e_tot_ev_per_atom": -4.5550, "volume_a3_per_cell": 57.85, "magmom_total_mub_per_fu": 3.5, "lattice_angstrom": [[-1.447, 3.599, 1.948], [-4.017, 1.437, -0.802], [-3.057, -0.273, 3.071]], "species": ["Br", "Cu", "Mo"], "frac_coords": [[0.500, 0.500, 0.500], [0.750, 0.750, 0.750], [0.000, 0.000, 0.000]]}



{"formula": "Cu2MoBr", "functional": "PBEsol", "state": "relaxed", "raw_formation_energy_ev_per_atom": 0.893, "e_tot_ev_per_atom": -4.6836, "volume_a3_per_cell": 57.90, "magmom_total_mub_per_fu": 0.0, "e_above_lowest_polymorph_mev_per_atom": 447.3, "lattice_angstrom": [[3.721, 0.000, 0.000], [0.000, 3.721, 0.000], [0.000, 0.000, 4.182]], "species": ["Br", "Cu", "Cu", "Mo"], "frac_coords": [[0.000, 0.000, 0.500], [0.000, 0.500, 0.000], [0.500, 0.000, 0.000], [0.500, 0.500, 0.500]]}



{"formula": "CuMo2Br", "functional": "PBEsol", "state": "relaxed", "raw_formation_energy_ev_per_atom": 0.675, "e_tot_ev_per_atom": -6.7601, "volume_a3_per_cell": 60.83, "magmom_total_mub_per_fu": 0.0, "e_above_lowest_polymorph_mev_per_atom": 0.0, "lattice_angstrom": [[2.884, 0.000, 0.000], [1.442, 2.498, 0.000], [1.442, 0.833, 8.442]], "species": ["Br", "Cu", "Mo", "Mo"], "frac_coords": [[0.500, 0.500, 0.500], [0.000, 0.000, 0.000], [0.251, 0.251, 0.248], [0.749, 0.749, 0.752]]}